Entry 1:
Compound: Ba2CaI
Source: Alexandria via LeMat-Bulk
Functional: PBE
Structure: optimized geometry

Values from the calculation:
- formation energy from raw total energies (eV/atom) = -0.297
- crystal system = cubic
- size of the total moment (μB per formula unit) = 0.000

abc: 6.550 6.550 6.550
angles: 60.00 60.00 60.00
Fractional positions:
Ba1 0.750 0.750 0.750
Ba2 0.250 0.250 0.250
I1 0.500 0.500 0.500
Ca1 0.000 0.000 0.000

Entry 2:
Compound: NaPuTl4
Source: Alexandria via LeMat-Bulk
Functional: PBE
Structure: optimized geometry

Values from the calculation:
- crystal system = cubic
- DFT formation energy (eV/atom) = 0.102
- size of the total moment (μB per formula unit) = 5.983

abc: 6.359 6.359 6.359
angles: 60.00 60.00 60.00
Site moments in Bohr magnetons follow the coordinates.
Fractional positions:
Tl1 0.625 0.625 0.625  0.00
Tl2 0.125 0.625 0.625  0.00
Tl3 0.625 0.125 0.625  0.00
Tl4 0.625 0.625 0.125  0.00
Pu1 0.000 0.000 0.000  5.68
Na1 0.250 0.250 0.250  0.00

Entry 3:
Compound: Ti12NbPb6
Source: Alexandria via LeMat-Bulk
Functional: PBE
Structure: optimized geometry

Values from the calculation:
- crystal system = trigonal
- DFT formation energy (eV/atom) = 0.116
- size of the total moment (μB per formula unit) = 0.000

abc: 7.243 7.243 7.243
angles: 92.69 92.69 92.69
Fractional positions:
Ti1 0.784 0.537 0.460
Ti2 0.062 0.144 0.365
Ti3 0.540 0.216 0.463
Ti4 0.144 0.365 0.062
Ti5 0.365 0.062 0.144
Ti6 0.856 0.635 0.938
Ti7 0.463 0.540 0.216
Ti8 0.216 0.463 0.540
Ti9 0.635 0.938 0.856
Ti10 0.537 0.460 0.784
Ti11 0.938 0.856 0.635
Ti12 0.460 0.784 0.537
Pb1 0.121 0.737 0.294
Pb2 0.294 0.121 0.737
Pb3 0.263 0.706 0.879
Pb4 0.706 0.879 0.263
Pb5 0.879 0.263 0.706
Pb6 0.737 0.294 0.121
Nb1 0.000 0.000 0.000

Entry 4:
Compound: Cu2NiIr
Source: Alexandria via LeMat-Bulk
Functional: PBE
Structure: optimized geometry

Values from the calculation:
- crystal system = tetragonal
- DFT formation energy (eV/atom) = 0.481
- size of the total moment (μB per formula unit) = 0.000

abc: 3.503 3.503 9.157
angles: 78.97 78.97 90.00
Fractional positions:
Ni1 0.500 0.500 0.000
Ni2 0.250 0.750 0.500
Cu1 0.875 0.870 0.750
Cu2 0.375 0.380 0.750
Cu3 0.620 0.125 0.250
Cu4 0.130 0.625 0.250
Ir1 0.750 0.250 0.500
Ir2 0.000 0.000 0.000

Entry 5:
Compound: Ti3Ga3CoTc2
Source: Alexandria via LeMat-Bulk
Functional: PBE
Structure: optimized geometry

Values from the calculation:
- crystal system = hexagonal
- DFT formation energy (eV/atom) = -0.352
- size of the total moment (μB per formula unit) = 0.100

abc: 3.124 7.060 7.060
angles: 120.00 90.00 90.00
Site moments in Bohr magnetons follow the coordinates.
Fractional positions:
Ti1 0.000 0.616 0.616  -0.01
Ti2 0.000 0.000 0.384  -0.01
Ti3 0.000 0.384 0.000  -0.01
Ga1 0.500 0.732 0.000  0.00
Ga2 0.500 0.268 0.268  0.00
Ga3 0.500 0.000 0.732  0.00
Tc1 0.500 0.333 0.667  -0.02
Tc2 0.500 0.667 0.333  -0.02
Co1 0.000 0.000 0.000  0.21

Entry 6:
Compound: InSbPt2
Source: Alexandria via LeMat-Bulk
Functional: PBE
Structure: optimized geometry

Values from the calculation:
- formation energy from raw total energies (eV/atom) = -0.164
- crystal system = tetragonal
- size of the total moment (μB per formula unit) = 0.000

abc: 5.441 5.441 5.441
angles: 136.04 136.04 63.91
Fractional positions:
Sb1 0.500 0.500 0.000
Pt1 0.000 0.000 0.000
Pt2 0.250 0.750 0.500
In1 0.750 0.250 0.500